## FeSi2HgRh (PBE)

Data for FeSi2HgRh after structural relaxation.

Calculated values
- volume (Å³ per cell) = 89
- uncorrected formation energy (eV/atom) = 0.530

Cell: 4.208 4.208 5.010 Å, 90.00 90.00 90.00°
Positions (direct):
Fe 0.000 0.000 0.000
Si 0.000 0.500 0.000
Si 0.500 0.000 0.000
Hg 0.000 0.000 0.500
Rh 0.500 0.500 0.500